Entry 1:
Density functional theory data (PBE-GGA) for crystalline Pr3Nd2Hg4 at its relaxed geometry.

Lattice parameters (Å, degrees): 7.0878 8.3805 10.0540 90.00 110.64 90.00
Positions (direct):
Pr 0.0000 0.0000 0.0000
Pr 0.5000 0.5000 0.0000
Pr 0.5097 0.7500 0.5193
Pr 0.9903 0.2500 0.4807
Pr 0.4903 0.2500 0.4807
Pr 0.0097 0.7500 0.5193
Nd 0.0939 0.5841 0.1878
Nd 0.9061 0.4159 0.8122
Nd 0.4061 0.0841 0.8122
Nd 0.5939 0.9159 0.1878
Hg 0.6806 0.7500 0.8612
Hg 0.8194 0.2500 0.1388
Hg 0.3194 0.2500 0.1388
Hg 0.1806 0.7500 0.8612
Hg 0.1633 0.9691 0.3266
Hg 0.8367 0.0309 0.6734
Hg 0.3367 0.4691 0.6734
Hg 0.6633 0.5309 0.3266

Properties
Energy of formation   -304 meV per atom
Energy above the lowest structure with this stoichiometry   0.74 eV per formula unit
Magnetic moment   0.00 μB/f.u.
Space group   Cmce, No. 64
D(E_F)   1.179 states/eV per atom

***

Entry 2:
Density functional theory data (PBE-GGA) for crystalline ZrTa3 at its relaxed geometry.

Lattice parameters (Å, degrees): 3.0270 10.0891 3.0270 98.63 60.00 98.63
Positions (direct):
Ta 0.9968 0.9904 0.9968
Ta 0.2500 0.7500 0.2500
Ta 0.5032 0.5096 0.5032
Zr 0.7500 0.2500 0.7500

Properties
Energy of formation   253 meV per atom
Energy above the lowest structure with this stoichiometry   0.68 eV per formula unit
Magnetic moment   0.00 μB/f.u.
Space group   R-3m, No. 166
D(E_F)   1.200 states/eV per atom

***

Entry 3:
Density functional theory data (PBE-GGA) for crystalline Li3Tm3Te2O12 at its relaxed geometry.

Lattice parameters (Å, degrees): 10.6508 10.6508 10.6508 109.47 109.47 109.47
Positions (direct):
Li 0.2500 0.6250 0.3750
Li 0.7500 0.3750 0.6250
Li 0.7500 0.8750 0.1250
Li 0.3750 0.2500 0.6250
Li 0.6250 0.7500 0.3750
Li 0.2500 0.1250 0.8750
Li 0.1250 0.7500 0.8750
Li 0.8750 0.2500 0.1250
Li 0.6250 0.3750 0.2500
Li 0.3750 0.6250 0.7500
Li 0.8750 0.1250 0.7500
Li 0.1250 0.8750 0.2500
Tm 0.2500 0.3750 0.1250
Tm 0.7500 0.6250 0.8750
Tm 0.7500 0.1250 0.3750
Tm 0.1250 0.2500 0.3750
Tm 0.3750 0.7500 0.1250
Tm 0.2500 0.8750 0.6250
Tm 0.8750 0.7500 0.6250
Tm 0.6250 0.2500 0.8750
Tm 0.3750 0.1250 0.2500
Tm 0.6250 0.8750 0.7500
Tm 0.1250 0.3750 0.7500
Tm 0.8750 0.6250 0.2500
Te 0.0000 0.0000 0.0000
Te 0.5000 0.0000 0.5000
Te 0.0000 0.5000 0.5000
Te 0.5000 0.0000 0.0000
Te 0.5000 0.5000 0.0000
Te 0.5000 0.5000 0.5000
Te 0.0000 0.0000 0.5000
Te 0.0000 0.5000 0.0000
O 0.4706 0.3779 0.2982
O 0.5294 0.6221 0.7018
O 0.5796 0.1723 0.2018
O 0.9204 0.1221 0.5927
O 0.2982 0.4706 0.3779
O 0.3277 0.9204 0.2982
O 0.4204 0.8277 0.7982
O 0.0796 0.8779 0.4073
O 0.7018 0.5294 0.6221
O 0.6723 0.0796 0.7018
O 0.0294 0.3277 0.9073
O 0.2018 0.5796 0.1723
O 0.1221 0.0294 0.2018
O 0.9706 0.6723 0.0927
O 0.7982 0.4204 0.8277
O 0.8779 0.9706 0.7982
O 0.5927 0.9204 0.1221
O 0.1723 0.4706 0.5927
O 0.4073 0.0796 0.8779
O 0.8277 0.5294 0.4073
O 0.9073 0.0294 0.3277
O 0.3779 0.5796 0.9073
O 0.0927 0.9706 0.6723
O 0.6221 0.4204 0.0927
O 0.3779 0.2982 0.4706
O 0.5796 0.9073 0.3779
O 0.6221 0.7018 0.5294
O 0.4204 0.0927 0.6221
O 0.1221 0.5927 0.9204
O 0.0294 0.2018 0.1221
O 0.8779 0.4073 0.0796
O 0.9706 0.7982 0.8779
O 0.3277 0.9073 0.0294
O 0.9204 0.2982 0.3277
O 0.6723 0.0927 0.9706
O 0.0796 0.7018 0.6723
O 0.1723 0.2018 0.5796
O 0.4706 0.5927 0.1723
O 0.8277 0.7982 0.4204
O 0.5294 0.4073 0.8277
O 0.2982 0.3277 0.9204
O 0.7018 0.6723 0.0796
O 0.2018 0.1221 0.0294
O 0.7982 0.8779 0.9706
O 0.9073 0.3779 0.5796
O 0.0927 0.6221 0.4204
O 0.5927 0.1723 0.4706
O 0.4073 0.8277 0.5294

Properties
Formation energy without anion corrections   -2363 meV per atom
Magnetic moment   0.00 μB/f.u.
Space group   Ia-3d, No. 230
D(E_F)   0.000 states/eV per atom

***

Entry 4:
Density functional theory data (PBE-GGA) for crystalline CaNd3Er2Se6 at its relaxed geometry.

Lattice parameters (Å, degrees): 7.1150 7.1150 7.3476 99.25 99.25 120.01
Positions (direct):
Ca 0.0000 0.0000 0.0000
Nd 0.1632 0.8368 0.5000
Nd 0.8368 0.1632 0.5000
Nd 0.5000 0.5000 0.5000
Er 0.3330 0.6670 0.0000
Er 0.6670 0.3330 0.0000
Se 0.9216 0.5842 0.7644
Se 0.7399 0.7399 0.2304
Se 0.0784 0.4158 0.2356
Se 0.5842 0.9216 0.7644
Se 0.2601 0.2601 0.7696
Se 0.4158 0.0784 0.2356

Properties
Formation energy without anion corrections   -1817 meV per atom
Magnetic moment   0.00 μB/f.u.
Space group   C2/m, No. 12
D(E_F)   0.416 states/eV per atom

***

Entry 5:
Density functional theory data (PBE-GGA) for crystalline Rb2TlSnGe at its relaxed geometry.

Lattice parameters (Å, degrees): 7.0884 5.8214 7.0884 90.00 90.00 90.00
Last column: magnetic moment on the atom in μB.
Positions (direct):
Tl 0.0000 0.5000 0.0000  0.01
Ge 0.5000 0.5000 0.5000  0.80
Sn 0.0000 0.0000 0.0000  -0.09
Rb 0.0000 0.0000 0.5000  0.00
Rb 0.5000 0.0000 0.0000  0.01

Properties
Energy of formation   476 meV per atom
Magnetic moment   2.25 μB/f.u.
Space group   P4/mmm, No. 123
D(E_F)   0.985 states/eV per atom

***

Entry 6:
Density functional theory data (PBE-GGA) for crystalline Sm6As2PS3 at its relaxed geometry.

Lattice parameters (Å, degrees): 4.1067 8.1875 9.1705 102.76 102.94 90.00
Positions (direct):
Sm 0.3361 0.9199 0.6723
Sm 0.6656 0.5844 0.3312
Sm 0.6639 0.0801 0.3277
Sm 0.9992 0.2426 0.9985
Sm 0.0008 0.7574 0.0015
Sm 0.3344 0.4156 0.6688
As 0.8333 0.6666 0.6667
As 0.1667 0.3334 0.3333
P 0.5000 0.0000 0.0000
S 0.5000 0.5000 0.0000
S 0.8326 0.1664 0.6652
S 0.1674 0.8336 0.3348

Properties
Formation energy without anion corrections   -1823 meV per atom
Magnetic moment   0.00 μB/f.u.
Space group   C2/m, No. 12
D(E_F)   0.346 states/eV per atom